--- P ---
KInIN2 (SCAN, PBEsol geometry); M_tot = 3.01 Bohr magnetons per cell; N(E_F) = 1.08 states/eV/f.u.; mass density = 4203 kg/m3; space group = P4/mmm
1.0
4.461 0.000 0.000
0.000 4.461 0.000
0.000 0.000 6.131
K In I N
1 1 1 2
Cartesian
0.000 0.000 0.000
2.231 2.231 3.066
2.231 2.231 0.000
0.000 2.231 3.066
2.231 0.000 3.066

***

--- Q ---
KInIN2 (SCAN, PBEsol geometry); M_tot = 5.00 Bohr magnetons per cell; N(E_F) = 2.28 states/eV/f.u.; mass density = 2943 kg/m3; space group = P4/mmm
1.0
5.112 0.000 0.000
0.000 5.112 0.000
0.000 0.000 6.667
K In I N
1 1 1 2
Cartesian
0.000 0.000 0.000
2.556 2.556 3.334
0.000 0.000 3.334
0.000 2.556 0.000
2.556 0.000 0.000

***

Taking the most stable structure as the zero point, the relative energies in meV/atom are P 0; Q 681.

***

--- P ---
InOsI2N (SCAN, PBEsol geometry); M_tot = 0.00 Bohr magnetons per cell; N(E_F) = 2.28 states/eV/f.u.; mass density = 8027 kg/m3; space group = P4/mmm
1.0
5.627 0.000 0.000
0.000 5.627 0.000
0.000 0.000 3.742
In Os I N
1 1 2 1
Cartesian
0.000 0.000 0.000
2.814 2.814 1.871
0.000 2.814 1.871
2.814 0.000 1.871
2.814 2.814 0.000

***

--- Q ---
InOsI2N (SCAN, PBEsol geometry); M_tot = 4.46 Bohr magnetons per cell; N(E_F) = 3.26 states/eV/f.u.; mass density = 7254 kg/m3; space group = P4/mmm
1.0
5.809 0.000 0.000
0.000 5.809 0.000
0.000 0.000 3.885
In Os I N
1 1 2 1
Cartesian
0.000 0.000 0.000
2.905 2.905 1.943
0.000 2.905 0.000
2.905 0.000 0.000
0.000 0.000 1.943

***

Taking the most stable structure as the zero point, the relative energies in meV/atom are P 0; Q 1448.

***

--- P ---
InSIN2 (SCAN, PBEsol geometry); M_tot = 1.86 Bohr magnetons per cell; N(E_F) = 2.45 states/eV/f.u.; mass density = 5134 kg/m3; space group = P4/mmm
1.0
3.903 0.000 0.000
0.000 3.903 0.000
0.000 0.000 6.410
In S I N
1 1 1 2
Cartesian
0.000 0.000 0.000
1.951 1.951 3.205
1.951 1.951 0.000
0.000 1.951 3.205
1.951 0.000 3.205

***

--- Q ---
InSIN2 (SCAN, PBEsol geometry); M_tot = 0.00 Bohr magnetons per cell; N(E_F) = 2.25 states/eV/f.u.; mass density = 5860 kg/m3; space group = P4/mmm
1.0
4.006 0.000 0.000
0.000 4.006 0.000
0.000 0.000 5.329
In S I N
1 1 1 2
Cartesian
0.000 0.000 0.000
2.003 2.003 0.000
2.003 2.003 2.664
0.000 2.003 2.664
2.003 0.000 2.664

***

Taking the most stable structure as the zero point, the relative energies in meV/atom are P 208; Q 0.

***

--- P ---
In3NiI (SCAN, PBEsol geometry); M_tot = 1.32 Bohr magnetons per cell; N(E_F) = 5.77 states/eV/f.u.; mass density = 3837 kg/m3; space group = Pm-3m
1.0
6.121 0.000 0.000
0.000 6.121 0.000
0.000 0.000 6.121
In Ni I
3 1 1
Cartesian
0.000 0.000 3.061
0.000 3.061 0.000
3.061 0.000 0.000
3.061 3.061 3.061
0.000 0.000 0.000

***

--- Q ---
In3NiI (SCAN, PBEsol geometry); M_tot = 0.00 Bohr magnetons per cell; N(E_F) = 0.22 states/eV/f.u.; mass density = 6936 kg/m3; space group = Pm-3m
1.0
5.025 0.000 0.000
0.000 5.025 0.000
0.000 0.000 5.025
In Ni I
3 1 1
Cartesian
0.000 0.000 2.513
0.000 2.513 0.000
2.513 0.000 0.000
0.000 0.000 0.000
2.513 2.513 2.513

***

Taking the most stable structure as the zero point, the relative energies in meV/atom are P 1407; Q 0.

***

--- P ---
InS2I (SCAN, PBEsol geometry); M_tot = 0.00 Bohr magnetons per cell; N(E_F) = 4.21 states/eV/f.u.; mass density = 5088 kg/m3; space group = I-42d
1.0
-3.707 3.707 3.631
3.707 -3.707 3.631
3.707 3.707 -3.631
In S I
2 4 2
Cartesian
0.000 0.000 0.000
0.000 3.707 1.816
5.561 1.407 -0.908
1.407 1.854 0.908
-1.854 2.300 2.723
2.300 1.854 4.539
3.707 0.000 1.816
0.000 0.000 3.631

***

--- Q ---
InS2I (SCAN, PBEsol geometry); M_tot = 0.00 Bohr magnetons per cell; N(E_F) = 0.62 states/eV/f.u.; mass density = 4763 kg/m3; space group = R-3m
1.0
1.975 1.140 7.889
-1.975 1.140 7.889
0.000 -2.281 7.889
In S I
1 2 1
Cartesian
0.000 0.000 0.000
0.000 0.000 9.225
0.000 0.000 14.443
0.000 0.000 11.834

***

Taking the most stable structure as the zero point, the relative energies in meV/atom are P 464; Q 0.

***

--- P ---
In2Te2I (SCAN, PBEsol geometry); M_tot = 0.00 Bohr magnetons per cell; N(E_F) = 3.21 states/eV/f.u.; mass density = 6648 kg/m3; space group = I4/mmm
1.0
-2.641 2.641 5.476
2.641 -2.641 5.476
2.641 2.641 -5.476
In Te I
2 2 1
Cartesian
0.000 0.000 1.382
0.000 0.000 9.569
2.641 0.000 2.738
0.000 2.641 2.738
0.000 0.000 5.476

***

--- Q ---
In2Te2I (SCAN, PBEsol geometry); M_tot = 0.00 Bohr magnetons per cell; N(E_F) = 0.89 states/eV/f.u.; mass density = 6143 kg/m3; space group = I4/mmm
1.0
-2.549 2.549 6.361
2.549 -2.549 6.361
2.549 2.549 -6.361
In Te I
2 2 1
Cartesian
2.549 0.000 3.181
0.000 2.549 3.181
0.000 0.000 1.743
0.000 0.000 10.980
0.000 0.000 6.361

***

Taking the most stable structure as the zero point, the relative energies in meV/atom are P 81; Q 0.

***

--- P ---
KLaSb2I (SCAN, PBEsol geometry); M_tot = 0.00 Bohr magnetons per cell; N(E_F) = 3.20 states/eV/f.u.; mass density = 5004 kg/m3; space group = P4/mmm
1.0
5.597 0.000 0.000
0.000 5.597 0.000
0.000 0.000 5.810
K La Sb I
1 1 2 1
Cartesian
0.000 0.000 0.000
2.798 2.798 2.905
0.000 2.798 0.000
2.798 0.000 0.000
0.000 0.000 2.905

***

--- Q ---
KLaSb2I (SCAN, PBEsol geometry); M_tot = 0.83 Bohr magnetons per cell; N(E_F) = 2.91 states/eV/f.u.; mass density = 3988 kg/m3; space group = P4/mmm
1.0
6.030 0.000 0.000
0.000 6.030 0.000
0.000 0.000 6.282
K La Sb I
1 1 2 1
Cartesian
0.000 0.000 0.000
3.015 3.015 3.141
0.000 3.015 3.141
3.015 0.000 3.141
3.015 3.015 0.000

***

Taking the most stable structure as the zero point, the relative energies in meV/atom are P 684; Q 0.

***

--- P ---
KLiI2 (SCAN, PBEsol geometry); M_tot = 0.00 Bohr magnetons per cell; N(E_F) = 0.00 states/eV/f.u.; mass density = 3775 kg/m3; space group = Fm-3m
1.0
0.000 4.040 4.040
4.040 0.000 4.040
4.040 4.040 0.000
K Li I
1 1 2
Cartesian
0.000 0.000 0.000
4.040 4.040 4.040
2.020 2.020 2.020
6.060 6.060 6.060

***

--- Q ---
KLiI2 (SCAN, PBEsol geometry); M_tot = 0.00 Bohr magnetons per cell; N(E_F) = 0.00 states/eV/f.u.; mass density = 3390 kg/m3; space group = I-42d
1.0
-4.044 4.044 4.490
4.044 -4.044 4.490
4.044 4.044 -4.490
K Li I
2 2 4
Cartesian
0.000 0.000 0.000
0.000 4.044 2.245
4.044 0.000 2.245
0.000 0.000 4.490
2.022 2.559 -1.123
5.530 2.022 1.123
2.022 1.485 3.368
-1.485 2.022 5.613

***

Taking the most stable structure as the zero point, the relative energies in meV/atom are P 179; Q 0.

***

--- P ---
KRbI2 (SCAN, PBEsol geometry); M_tot = 0.00 Bohr magnetons per cell; N(E_F) = 0.00 states/eV/f.u.; mass density = 3974 kg/m3; space group = Fm-3m
1.0
0.000 4.292 4.292
4.292 0.000 4.292
4.292 4.292 0.000
K Rb I
1 1 2
Cartesian
0.000 0.000 0.000
4.292 4.292 4.292
2.146 2.146 2.146
6.438 6.438 6.438

***

--- Q ---
KRbI2 (SCAN, PBEsol geometry); M_tot = 0.47 Bohr magnetons per cell; N(E_F) = 0.00 states/eV/f.u.; mass density = 2450 kg/m3; space group = I-42d
1.0
-4.031 4.031 7.890
4.031 -4.031 7.890
4.031 4.031 -7.890
K Rb I
2 2 4
Cartesian
0.000 0.000 0.000
0.000 4.031 3.945
4.031 0.000 3.945
0.000 0.000 7.890
6.047 1.894 -1.972
1.894 2.016 1.972
-2.016 2.137 5.917
2.137 2.016 9.862

***

Taking the most stable structure as the zero point, the relative energies in meV/atom are P 0; Q 93.

***

--- P ---
KScI3 (SCAN, PBEsol geometry); M_tot = 0.01 Bohr magnetons per cell; N(E_F) = 2.66 states/eV/f.u.; mass density = 4104 kg/m3; space group = Pm-3m
1.0
5.729 0.000 0.000
0.000 5.729 0.000
0.000 0.000 5.729
K Sc I
1 1 3
Cartesian
0.000 0.000 0.000
2.865 2.865 2.865
0.000 2.865 2.865
2.865 0.000 2.865
2.865 2.865 0.000

***

--- Q ---
KScI3 (SCAN, PBEsol geometry); M_tot = 0.99 Bohr magnetons per cell; N(E_F) = 6.15 states/eV/f.u.; mass density = 3462 kg/m3; space group = Pm-3m
1.0
6.063 0.000 0.000
0.000 6.063 0.000
0.000 0.000 6.063
K Sc I
1 1 3
Cartesian
0.000 0.000 0.000
3.032 3.032 3.032
0.000 0.000 3.032
0.000 3.032 0.000
3.032 0.000 0.000

***

Taking the most stable structure as the zero point, the relative energies in meV/atom are P 0; Q 988.

***

--- P ---
LaS2I (SCAN, PBEsol geometry); M_tot = 0.00 Bohr magnetons per cell; N(E_F) = 3.86 states/eV/f.u.; mass density = 5156 kg/m3; space group = I-42d
1.0
-3.913 3.913 3.471
3.913 -3.913 3.471
3.913 3.913 -3.471
La S I
2 4 2
Cartesian
0.000 0.000 0.000
0.000 3.913 1.735
1.956 1.782 -0.868
2.131 -1.956 4.338
1.956 2.131 2.603
1.782 5.869 0.868
3.913 0.000 1.735
0.000 0.000 3.471

***

--- Q ---
LaS2I (SCAN, PBEsol geometry); M_tot = 0.00 Bohr magnetons per cell; N(E_F) = 0.00 states/eV/f.u.; mass density = 4116 kg/m3; space group = R-3m
1.0
2.212 1.277 7.850
-2.212 1.277 7.850
0.000 -2.555 7.850
La S I
1 2 1
Cartesian
0.000 0.000 0.000
0.000 0.000 9.160
0.000 0.000 14.389
0.000 0.000 11.774

***

Taking the most stable structure as the zero point, the relative energies in meV/atom are P 558; Q 0.

***

--- P ---
LiRe3I (SCAN, PBEsol geometry); M_tot = 0.00 Bohr magnetons per cell; N(E_F) = 6.27 states/eV/f.u.; mass density = 14902 kg/m3; space group = Pm-3m
1.0
4.257 0.000 0.000
0.000 4.257 0.000
0.000 0.000 4.257
Li Re I
1 3 1
Cartesian
0.000 0.000 0.000
0.000 0.000 2.129
0.000 2.129 0.000
2.129 0.000 0.000
2.129 2.129 2.129

***

--- Q ---
LiRe3I (SCAN, PBEsol geometry); M_tot = 2.15 Bohr magnetons per cell; N(E_F) = 2.39 states/eV/f.u.; mass density = 10401 kg/m3; space group = Pm-3m
1.0
4.800 0.000 0.000
0.000 4.800 0.000
0.000 0.000 4.800
Li Re I
1 3 1
Cartesian
0.000 0.000 0.000
0.000 2.400 2.400
2.400 0.000 2.400
2.400 2.400 0.000
2.400 2.400 2.400

***

Taking the most stable structure as the zero point, the relative energies in meV/atom are P 0; Q 582.

***

--- P ---
LiTcSbI2 (SCAN, PBEsol geometry); M_tot = 1.73 Bohr magnetons per cell; N(E_F) = 3.17 states/eV/f.u.; mass density = 5030 kg/m3; space group = P4/mmm
1.0
5.642 0.000 0.000
0.000 5.642 0.000
0.000 0.000 4.984
Li Tc Sb I
1 1 1 2
Cartesian
0.000 0.000 0.000
2.821 2.821 2.492
2.821 2.821 0.000
0.000 2.821 2.492
2.821 0.000 2.492

***

--- Q ---
LiTcSbI2 (SCAN, PBEsol geometry); M_tot = 4.53 Bohr magnetons per cell; N(E_F) = 3.08 states/eV/f.u.; mass density = 5870 kg/m3; space group = P4/mmm
1.0
5.111 0.000 0.000
0.000 5.111 0.000
0.000 0.000 5.203
Li Tc Sb I
1 1 1 2
Cartesian
0.000 0.000 0.000
2.556 2.556 2.602
0.000 0.000 2.602
0.000 2.556 0.000
2.556 0.000 0.000

***

Taking the most stable structure as the zero point, the relative energies in meV/atom are P 0; Q 608.

***

--- P ---
Li2SnI2 (SCAN, PBEsol geometry); M_tot = 0.00 Bohr magnetons per cell; N(E_F) = 2.80 states/eV/f.u.; mass density = 5056 kg/m3; space group = P4/mbm
1.0
8.217 0.000 0.000
0.000 8.217 0.000
0.000 0.000 3.759
Li Sn I
4 2 4
Cartesian
1.183 2.925 0.000
2.925 7.033 0.000
5.291 1.183 0.000
7.033 5.291 0.000
0.000 0.000 0.000
4.108 4.108 0.000
1.358 5.466 1.880
2.750 1.358 1.880
5.466 6.859 1.880
6.859 2.750 1.880

***

--- Q ---
Li2SnI2 (SCAN, PBEsol geometry); M_tot = 0.15 Bohr magnetons per cell; N(E_F) = 3.54 states/eV/f.u.; mass density = 4554 kg/m3; space group = I4/mmm
1.0
-2.798 2.798 4.500
2.798 -2.798 4.500
2.798 2.798 -4.500
Li Sn I
2 1 2
Cartesian
0.000 0.000 1.601
0.000 0.000 7.400
0.000 0.000 4.500
2.798 0.000 2.250
0.000 2.798 2.250

***

Taking the most stable structure as the zero point, the relative energies in meV/atom are P 0; Q 132.